#A
VASP calculation (PBE-GGA) on an optimized crystal structure of TeAs3S.

It has space group Pm-3m (No. 221), with a = 4.871 Å, b = 4.871 Å, c = 4.871 Å, α = 90.00°, β = 90.00° and γ = 90.00°. The asymmetric unit holds Te at (0.000, 0.000, 0.000), As at (0.000, 0.500, 0.500) and S at (0.500, 0.500, 0.500).

As for the crystal system: cubic.

#B
VASP calculation (PBE-GGA) on an optimized crystal structure of TeAs3S.

It has space group Pm-3m (No. 221), with a = 5.315 Å, b = 5.315 Å, c = 5.315 Å, α = 90.00°, β = 90.00° and γ = 90.00°. The asymmetric unit holds Te at (0.000, 0.000, 0.000), As at (0.000, 0.000, 0.500) and S at (0.500, 0.500, 0.500).

As for the crystal system: cubic.

Q: Which of them is the most stable? A: #A.

#A
VASP calculation (PBE-GGA) on an optimized crystal structure of TeAsS.

It has space group Pm (No. 6), with a = 4.015 Å, b = 3.225 Å, c = 7.259 Å, α = 90.00°, β = 103.74° and γ = 90.00°. The asymmetric unit holds Te at (0.000, 0.000, 0.000), As at (0.847, 0.000, 0.344) and S at (0.209, 0.500, 0.500).

As for the crystal system: monoclinic.

#B
VASP calculation (PBE-GGA) on an optimized crystal structure of TeAsS.

It has space group P1 (No. 1), with a = 3.294 Å, b = 4.054 Å, c = 6.740 Å, α = 86.20°, β = 89.55° and γ = 66.08°. The asymmetric unit holds Te at (0.000, 0.000, 0.000), As at (0.735, 0.540, 0.697) and S at (0.336, 0.344, 0.488).

As for the crystal system: triclinic.

Q: Which of them is the most stable? A: #B.

#A
VASP calculation (PBE-GGA) on an optimized crystal structure of TeAsS.

It has space group Cm (No. 8), with a = 17.835 Å, b = 3.182 Å, c = 3.111 Å, α = 90.00°, β = 91.17° and γ = 90.00°. The asymmetric unit holds Te at (0.000, 0.000, 0.000), As at (0.311, 0.000, 0.447) and S at (0.222, 0.500, 0.437).

As for the crystal system: monoclinic.

#B
VASP calculation (PBE-GGA) on an optimized crystal structure of TeAsS.

It has space group P1 (No. 1), with a = 2.920 Å, b = 2.922 Å, c = 9.990 Å, α = 90.22°, β = 98.00° and γ = 90.02°. The asymmetric unit holds Te at (0.000, 0.000, 0.000), As at (0.166, 0.006, 0.369) and S at (0.273, 0.009, 0.593).

As for the crystal system: triclinic.

Q: Which of them is the most stable? A: #A.

#A
VASP calculation (PBE-GGA) on an optimized crystal structure of TeAsS.

It has space group P1 (No. 1), with a = 5.240 Å, b = 5.848 Å, c = 6.698 Å, α = 84.88°, β = 69.88° and γ = 88.73°. The asymmetric unit holds Te at (0.000, 0.000, 0.000), Te at (0.413, 0.574, 0.694), As at (0.173, 0.705, 0.398), As at (0.207, 0.133, 0.291), S at (0.627, 0.278, 0.094) and S at (0.775, 0.854, 0.620).

As for the crystal system: triclinic.

#B
VASP calculation (PBE-GGA) on an optimized crystal structure of TeAsS.

It has space group C2/m (No. 12), with a = 19.826 Å, b = 3.239 Å, c = 6.229 Å, α = 90.00°, β = 104.18° and γ = 90.00°. The asymmetric unit holds Te at (0.047, 0.000, 0.278), As at (0.170, 0.000, 0.164) and S at (0.151, 0.500, 0.899).

As for the crystal system: monoclinic.

Q: Which of them is the most stable? A: #B.

#A
VASP calculation (PBE-GGA) on an optimized crystal structure of TeAsS.

It has space group P1 (No. 1), with a = 3.974 Å, b = 4.299 Å, c = 5.569 Å, α = 97.52°, β = 103.67° and γ = 105.88°. The asymmetric unit holds Te at (0.000, 0.000, 0.000), As at (0.689, 0.320, 0.314) and S at (0.489, 0.954, 0.535).

As for the crystal system: triclinic.

#B
VASP calculation (PBE-GGA) on an optimized crystal structure of TeAsS.

It has space group P1 (No. 1), with a = 3.111 Å, b = 3.180 Å, c = 9.247 Å, α = 91.92°, β = 91.34° and γ = 90.07°. The asymmetric unit holds Te at (0.000, 0.000, 0.000), As at (0.464, 0.467, 0.636) and S at (0.452, 0.950, 0.465).

As for the crystal system: triclinic.

Q: Which of them is the most stable? A: #B.

#A
VASP calculation (PBE-GGA) on an optimized crystal structure of TeAsS.

It has space group Pmm2 (No. 25), with a = 2.850 Å, b = 5.629 Å, c = 5.602 Å, α = 90.00°, β = 90.00° and γ = 90.00°. The asymmetric unit holds Te at (0.000, 0.000, 0.000), As at (0.000, 0.500, 0.156) and S at (0.000, 0.500, 0.547).

As for the crystal system: orthorhombic.

#B
VASP calculation (PBE-GGA) on an optimized crystal structure of TeAsS.

It has space group P3m1 (No. 156), with a = 4.0010 Å, b = 4.0010 Å, c = 5.0562 Å, α = 90.00°, β = 90.00° and γ = 120.00°. The asymmetric unit holds Te at (0.0000, 0.0000, 0.0000), As at (0.3333, 0.6667, 0.6738) and S at (0.6667, 0.3333, 0.3880).

As for the crystal system: trigonal.

Q: Which of them is the most stable? A: #B.

#A
VASP calculation (PBE-GGA) on an optimized crystal structure of Th2AsS.

It has space group R-3m (No. 166, hexagonal axes), with a = 4.1617 Å, b = 4.1617 Å, c = 20.2142 Å, α = 90.00°, β = 90.00° and γ = 120.00°. The asymmetric unit holds Th at (0.0000, 0.0000, 0.2463), As at (0.0000, 0.0000, 0.0000) and S at (0.0000, 0.0000, 0.5000).

As for the crystal system: trigonal.

#B
VASP calculation (PBE-GGA) on an optimized crystal structure of Th2AsS.

It has space group R3m (No. 160, hexagonal axes), with a = 4.0049 Å, b = 4.0049 Å, c = 22.3119 Å, α = 90.00°, β = 90.00° and γ = 120.00°. The asymmetric unit holds Th at (0.0000, 0.0000, 0.0000), Th at (0.0000, 0.0000, 0.1705), As at (0.0000, 0.0000, 0.5855) and S at (0.0000, 0.0000, 0.4175).

As for the crystal system: trigonal.

Q: Which of them is the most stable? A: #A.